La2MnSe2O2 (PBE+U, optimized geometry); space group = C2/m; uncorrected energy = -7.299 eV/atom; total magnetization = 5.0 μB/cell; energy above the lowest structure with this stoichiometry = 0.0000 eV per atom
1.0
5.907 -1.996 0.000
5.907 1.996 0.000
-3.790 0.000 6.158
La Mn Se O
2 1 2 2
direct
0.193 0.193 0.245
0.807 0.807 0.755
0.000 0.000 0.500
0.441 0.441 0.181
0.559 0.559 0.819
0.200 0.200 0.583
0.800 0.800 0.417